First-principles (meta-GGA SCAN) data for MnRhSe2 at its PBEsol-relaxed geometry, as listed in Alexandria.

Calculated values
crystal system: tetragonal
ΔE_f (raw): -465 meV/atom

a = 3.368 Å, b = 3.368 Å, c = 6.027 Å
α = 90.00°, β = 90.00°, γ = 90.00°
Site moments in Bohr magnetons follow the coordinates.
Fractional coordinates of all 4 atoms:
Se (0.500, 0.500, 0.350)  -0.14
Se (0.000, 0.000, 0.897)  -0.10
Mn (0.000, 0.000, 0.504)  3.67
Rh (0.500, 0.500, 0.750)  -0.28

=====

First-principles (meta-GGA SCAN) data for BaBeFe3 at its PBEsol-relaxed geometry, as listed in Alexandria.

Calculated values
crystal system: cubic

a = 4.249 Å, b = 4.249 Å, c = 4.249 Å
α = 90.00°, β = 90.00°, γ = 90.00°
Site moments in Bohr magnetons follow the coordinates.
Fractional coordinates of all 5 atoms:
Fe (0.000, 0.500, 0.000)  2.79
Fe (0.500, 0.000, 0.000)  2.79
Fe (0.000, 0.000, 0.500)  2.79
Ba (0.500, 0.500, 0.500)  -0.13
Be (0.000, 0.000, 0.000)  -0.16

=====

First-principles (meta-GGA SCAN) data for MnAg2I at its PBEsol-relaxed geometry, as listed in Alexandria.

Calculated values
crystal system: cubic
ΔE_f (raw): 558 meV/atom

a = 4.850 Å, b = 4.850 Å, c = 4.850 Å
α = 60.00°, β = 60.00°, γ = 60.00°
Site moments in Bohr magnetons follow the coordinates.
Fractional coordinates of all 4 atoms:
Ag (0.750, 0.750, 0.750)  -0.08
Ag (0.250, 0.250, 0.250)  -0.08
I (0.500, 0.500, 0.500)  0.01
Mn (0.000, 0.000, 0.000)  4.18

=====

First-principles (meta-GGA SCAN) data for AlGa2C at its PBEsol-relaxed geometry, as listed in Alexandria.

Calculated values
crystal system: tetragonal

a = 5.599 Å, b = 5.892 Å, c = 5.599 Å
α = 61.63°, β = 90.00°, γ = 118.37°
Fractional coordinates of all 8 atoms:
Al (0.000, 0.000, 0.000)
Al (0.750, 0.500, 0.750)
Ga (0.530, 0.750, 0.375)
Ga (0.220, 0.750, 0.875)
Ga (0.375, 0.250, 0.220)
Ga (0.875, 0.250, 0.530)
C (0.250, 0.500, 0.250)
C (0.500, 0.000, 0.500)

=====

First-principles (meta-GGA SCAN) data for PrSn6Ru4 at its PBEsol-relaxed geometry, as listed in Alexandria.

Calculated values
crystal system: tetragonal

a = 6.854 Å, b = 6.875 Å, c = 6.854 Å
α = 60.10°, β = 90.00°, γ = 119.90°
Fractional coordinates of all 11 atoms:
Sn (0.474, 0.590, 0.526)
Sn (0.500, 0.000, 0.000)
Sn (0.526, 0.410, 0.116)
Sn (0.116, 0.590, 0.884)
Sn (0.884, 0.410, 0.474)
Sn (0.000, 0.000, 0.500)
Pr (0.000, 0.000, 0.000)
Ru (0.409, 0.157, 0.591)
Ru (0.591, 0.843, 0.749)
Ru (0.251, 0.843, 0.409)
Ru (0.749, 0.157, 0.251)

=====

First-principles (meta-GGA SCAN) data for SrZn4Br at its PBEsol-relaxed geometry, as listed in Alexandria.

Calculated values
crystal system: cubic
ΔE_f (raw): -134 meV/atom

a = 5.650 Å, b = 5.650 Å, c = 5.650 Å
α = 60.00°, β = 60.00°, γ = 60.00°
Fractional coordinates of all 6 atoms:
Br (0.750, 0.750, 0.750)
Zn (0.374, 0.877, 0.374)
Zn (0.374, 0.374, 0.374)
Zn (0.374, 0.374, 0.877)
Zn (0.877, 0.374, 0.374)
Sr (0.000, 0.000, 0.000)

=====

First-principles (meta-GGA SCAN) data for BiMoF2 at its PBEsol-relaxed geometry, as listed in Alexandria.

Calculated values
crystal system: cubic
ΔE_f (raw): -278 meV/atom

a = 4.397 Å, b = 4.397 Å, c = 4.397 Å
α = 60.00°, β = 60.00°, γ = 60.00°
Site moments in Bohr magnetons follow the coordinates.
Fractional coordinates of all 4 atoms:
F (0.250, 0.250, 0.250)  0.03
F (0.750, 0.750, 0.750)  0.03
Mo (0.000, 0.000, 0.000)  2.71
Bi (0.500, 0.500, 0.500)  -0.14

=====

First-principles (meta-GGA SCAN) data for Si3SnCl at its PBEsol-relaxed geometry, as listed in Alexandria.

Calculated values
crystal system: cubic
ΔE_f (raw): 1220 meV/atom

a = 4.749 Å, b = 4.749 Å, c = 4.749 Å
α = 90.00°, β = 90.00°, γ = 90.00°
Fractional coordinates of all 5 atoms:
Cl (0.000, 0.000, 0.000)
Si (0.500, 0.000, 0.000)
Si (0.000, 0.500, 0.000)
Si (0.000, 0.000, 0.500)
Sn (0.500, 0.500, 0.500)

=====

First-principles (meta-GGA SCAN) data for Sb8Au at its PBEsol-relaxed geometry, as listed in Alexandria.

Calculated values
crystal system: tetragonal
ΔE_f (raw): 220 meV/atom

a = 3.735 Å, b = 8.092 Å, c = 8.092 Å
α = 86.95°, β = 76.65°, γ = 76.65°
Fractional coordinates of all 9 atoms:
Sb (0.643, 0.714, 0.000)
Sb (0.661, 0.339, 0.339)
Sb (0.000, 0.661, 0.339)
Sb (0.357, 0.286, 0.000)
Sb (0.000, 0.339, 0.661)
Sb (0.643, 0.000, 0.714)
Sb (0.357, 0.000, 0.286)
Sb (0.339, 0.661, 0.661)
Au (0.000, 0.000, 0.000)

=====

First-principles (meta-GGA SCAN) data for TaTeN2 at its PBEsol-relaxed geometry, as listed in Alexandria.

Calculated values
crystal system: tetragonal
ΔE_f (raw): -88 meV/atom

a = 5.486 Å, b = 6.010 Å, c = 5.486 Å
α = 62.85°, β = 90.00°, γ = 117.15°
Fractional coordinates of all 8 atoms:
Ta (0.750, 0.500, 0.750)
Ta (0.000, 0.000, 0.000)
N (0.875, 0.250, 0.741)
N (0.009, 0.750, 0.875)
N (0.741, 0.750, 0.375)
N (0.375, 0.250, 0.009)
Te (0.500, 0.000, 0.500)
Te (0.250, 0.500, 0.250)

=====

First-principles (meta-GGA SCAN) data for PtSNCl2 at its PBEsol-relaxed geometry, as listed in Alexandria.

Calculated values
crystal system: tetragonal
ΔE_f (raw): 980 meV/atom

a = 4.390 Å, b = 4.964 Å, c = 4.964 Å
α = 90.00°, β = 90.00°, γ = 90.00°
Site moments in Bohr magnetons follow the coordinates.
Fractional coordinates of all 5 atoms:
Pt (0.000, 0.000, 0.000)  -0.01
S (0.500, 0.000, 0.000)  -0.03
N (0.500, 0.500, 0.500)  1.92
Cl (0.000, 0.000, 0.500)  0.04
Cl (0.000, 0.500, 0.000)  0.04

=====

First-principles (meta-GGA SCAN) data for YScTe at its PBEsol-relaxed geometry, as listed in Alexandria.

Calculated values
crystal system: tetragonal
ΔE_f (raw): -825 meV/atom

a = 3.743 Å, b = 3.743 Å, c = 5.918 Å
α = 108.43°, β = 108.43°, γ = 90.00°
Fractional coordinates of all 3 atoms:
Sc (0.985, 0.985, 0.970)
Te (0.347, 0.347, 0.695)
Y (0.668, 0.668, 0.336)

=====

First-principles (meta-GGA SCAN) data for RbTi3F at its PBEsol-relaxed geometry, as listed in Alexandria.

Calculated values
crystal system: cubic
ΔE_f (raw): 2127 meV/atom

a = 4.706 Å, b = 4.706 Å, c = 4.706 Å
α = 90.00°, β = 90.00°, γ = 90.00°
Site moments in Bohr magnetons follow the coordinates.
Fractional coordinates of all 5 atoms:
F (0.500, 0.500, 0.500)  0.17
Ti (0.000, 0.500, 0.000)  1.16
Ti (0.000, 0.000, 0.500)  1.16
Ti (0.500, 0.000, 0.000)  1.16
Rb (0.000, 0.000, 0.000)  0.14

=====

First-principles (meta-GGA SCAN) data for CdMo2As at its PBEsol-relaxed geometry, as listed in Alexandria.

Calculated values
crystal system: tetragonal

a = 4.525 Å, b = 4.525 Å, c = 3.084 Å
α = 90.00°, β = 90.00°, γ = 90.00°
Fractional coordinates of all 4 atoms:
As (0.500, 0.500, 0.500)
Cd (0.000, 0.000, 0.500)
Mo (0.500, 0.000, 0.000)
Mo (0.000, 0.500, 0.000)

=====

First-principles (meta-GGA SCAN) data for PHPbO4 at its PBEsol-relaxed geometry, as listed in Alexandria.

Calculated values
crystal system: monoclinic

a = 4.695 Å, b = 5.732 Å, c = 6.597 Å
α = 90.00°, β = 90.00°, γ = 96.27°
Fractional coordinates of all 14 atoms:
Pb (0.500, 0.250, 0.298)
Pb (0.500, 0.750, 0.702)
H (0.000, 0.000, 0.000)
H (0.000, 0.500, 0.000)
O (0.243, 0.375, 0.579)
O (0.126, 0.564, 0.152)
O (0.126, 0.064, 0.848)
O (0.757, 0.625, 0.421)
O (0.874, 0.436, 0.848)
O (0.243, 0.875, 0.421)
O (0.874, 0.936, 0.152)
O (0.757, 0.125, 0.579)
P (0.000, 0.750, 0.290)
P (0.000, 0.250, 0.710)

=====

First-principles (meta-GGA SCAN) data for MnTc2Te at its PBEsol-relaxed geometry, as listed in Alexandria.

Calculated values
crystal system: orthorhombic
ΔE_f (raw): 338 meV/atom

a = 3.203 Å, b = 4.306 Å, c = 5.125 Å
α = 114.84°, β = 108.21°, γ = 90.00°
Site moments in Bohr magnetons follow the coordinates.
Fractional coordinates of all 4 atoms:
Te (0.500, 0.000, 0.000)  -0.04
Tc (0.236, 0.236, 0.471)  -0.51
Tc (0.764, 0.764, 0.529)  -0.51
Mn (0.000, 0.500, 0.000)  3.33

=====

First-principles (meta-GGA SCAN) data for Zn2WSe at its PBEsol-relaxed geometry, as listed in Alexandria.

Calculated values
crystal system: orthorhombic
ΔE_f (raw): 314 meV/atom

a = 2.973 Å, b = 4.261 Å, c = 6.277 Å
α = 109.84°, β = 103.70°, γ = 90.00°
Fractional coordinates of all 4 atoms:
Zn (0.782, 0.282, 0.564)
Zn (0.927, 0.927, 0.853)
Se (0.560, 0.560, 0.121)
W (0.231, 0.731, 0.462)

=====

First-principles (meta-GGA SCAN) data for LaMnBe2 at its PBEsol-relaxed geometry, as listed in Alexandria.

Calculated values
crystal system: tetragonal

a = 4.264 Å, b = 4.264 Å, c = 4.264 Å
α = 109.88°, β = 109.88°, γ = 108.66°
Site moments in Bohr magnetons follow the coordinates.
Fractional coordinates of all 4 atoms:
Be (0.250, 0.750, 0.500)  -0.11
Be (0.750, 0.250, 0.500)  -0.11
La (0.000, 0.000, 0.000)  -0.20
Mn (0.500, 0.500, 0.000)  2.73

=====

First-principles (meta-GGA SCAN) data for HfGaAg2As at its PBEsol-relaxed geometry, as listed in Alexandria.

Calculated values
crystal system: tetragonal

a = 4.869 Å, b = 4.715 Å, c = 4.715 Å
α = 90.00°, β = 90.00°, γ = 90.00°
Fractional coordinates of all 5 atoms:
Hf (0.500, 0.500, 0.500)
Ag (0.000, 0.000, 0.500)
Ag (0.000, 0.500, 0.000)
As (0.000, 0.000, 0.000)
Ga (0.500, 0.000, 0.000)

=====

First-principles (meta-GGA SCAN) data for LaNiHg3 at its PBEsol-relaxed geometry, as listed in Alexandria.

Calculated values
crystal system: cubic

a = 5.866 Å, b = 5.866 Å, c = 5.866 Å
α = 90.00°, β = 90.00°, γ = 90.00°
Site moments in Bohr magnetons follow the coordinates.
Fractional coordinates of all 5 atoms:
Hg (0.000, 0.000, 0.500)  -0.08
Hg (0.000, 0.500, 0.000)  -0.08
Hg (0.500, 0.000, 0.000)  -0.08
Ni (0.500, 0.500, 0.500)  1.15
La (0.000, 0.000, 0.000)  -0.45

=====

First-principles (meta-GGA SCAN) data for TmZnRh at its PBEsol-relaxed geometry, as listed in Alexandria.

Calculated values
crystal system: orthorhombic

a = 3.900 Å, b = 6.770 Å, c = 7.966 Å
α = 90.00°, β = 90.00°, γ = 90.00°
Fractional coordinates of all 12 atoms:
Tm (0.250, 0.043, 0.682)
Tm (0.250, 0.543, 0.818)
Tm (0.750, 0.457, 0.182)
Tm (0.750, 0.957, 0.318)
Zn (0.250, 0.133, 0.063)
Zn (0.750, 0.867, 0.937)
Zn (0.750, 0.367, 0.563)
Zn (0.250, 0.633, 0.437)
Rh (0.750, 0.749, 0.626)
Rh (0.750, 0.249, 0.874)
Rh (0.250, 0.251, 0.374)
Rh (0.250, 0.751, 0.126)

=====

First-principles (meta-GGA SCAN) data for AgAs2RhSe at its PBEsol-relaxed geometry, as listed in Alexandria.

Calculated values
crystal system: tetragonal
ΔE_f (raw): 441 meV/atom

a = 4.589 Å, b = 4.589 Å, c = 5.257 Å
α = 90.00°, β = 90.00°, γ = 90.00°
Fractional coordinates of all 5 atoms:
As (0.500, 0.000, 0.000)
As (0.000, 0.500, 0.000)
Se (0.000, 0.000, 0.500)
Ag (0.500, 0.500, 0.500)
Rh (0.000, 0.000, 0.000)

=====

First-principles (meta-GGA SCAN) data for CsNiSb3 at its PBEsol-relaxed geometry, as listed in Alexandria.

Calculated values
crystal system: cubic
ΔE_f (raw): 2297 meV/atom

a = 5.963 Å, b = 5.963 Å, c = 5.963 Å
α = 90.00°, β = 90.00°, γ = 90.00°
Site moments in Bohr magnetons follow the coordinates.
Fractional coordinates of all 5 atoms:
Ni (0.500, 0.500, 0.500)  1.08
Sb (0.000, 0.000, 0.500)  0.14
Sb (0.500, 0.000, 0.000)  0.14
Sb (0.000, 0.500, 0.000)  0.14
Cs (0.000, 0.000, 0.000)  0.01

=====

First-principles (meta-GGA SCAN) data for Be4CrFe at its PBEsol-relaxed geometry, as listed in Alexandria.

Calculated values
crystal system: cubic

a = 4.123 Å, b = 4.123 Å, c = 4.123 Å
α = 60.00°, β = 60.00°, γ = 60.00°
Site moments in Bohr magnetons follow the coordinates.
Fractional coordinates of all 6 atoms:
Be (0.376, 0.376, 0.873)  -0.04
Be (0.376, 0.873, 0.376)  -0.04
Be (0.873, 0.376, 0.376)  -0.04
Be (0.376, 0.376, 0.376)  -0.04
Fe (0.000, 0.000, 0.000)  0.21
Cr (0.750, 0.750, 0.750)  2.24

=====

First-principles (meta-GGA SCAN) data for Mn2FeCoRu at its PBEsol-relaxed geometry, as listed in Alexandria.

Calculated values
crystal system: tetragonal

a = 4.308 Å, b = 4.365 Å, c = 4.365 Å
α = 90.00°, β = 90.00°, γ = 90.00°
Site moments in Bohr magnetons follow the coordinates.
Fractional coordinates of all 5 atoms:
Co (0.500, 0.000, 0.000)  0.67
Ru (0.000, 0.000, 0.000)  -0.14
Fe (0.500, 0.500, 0.500)  3.23
Mn (0.000, 0.500, 0.000)  3.51
Mn (0.000, 0.000, 0.500)  3.51

=====

First-principles (meta-GGA SCAN) data for AlCdTe2 at its PBEsol-relaxed geometry, as listed in Alexandria.

Calculated values
crystal system: cubic
ΔE_f (raw): 310 meV/atom

a = 5.184 Å, b = 5.184 Å, c = 5.184 Å
α = 60.00°, β = 60.00°, γ = 60.00°
Fractional coordinates of all 4 atoms:
Cd (0.250, 0.250, 0.250)
Al (0.500, 0.500, 0.500)
Te (0.000, 0.000, 0.000)
Te (0.750, 0.750, 0.750)

=====

First-principles (meta-GGA SCAN) data for Al2Ag at its PBEsol-relaxed geometry, as listed in Alexandria.

Calculated values
crystal system: cubic

a = 5.269 Å, b = 5.269 Å, c = 5.269 Å
α = 60.00°, β = 60.00°, γ = 60.00°
Fractional coordinates of all 6 atoms:
Al (0.125, 0.625, 0.125)
Al (0.125, 0.125, 0.125)
Al (0.125, 0.125, 0.625)
Al (0.625, 0.125, 0.125)
Ag (0.750, 0.750, 0.750)
Ag (0.500, 0.500, 0.500)

=====

First-principles (meta-GGA SCAN) data for MgH at its PBEsol-relaxed geometry, as listed in Alexandria.

Calculated values
crystal system: hexagonal

a = 3.296 Å, b = 3.296 Å, c = 5.334 Å
α = 90.00°, β = 90.00°, γ = 120.00°
Fractional coordinates of all 4 atoms:
H (0.667, 0.333, 0.002)
H (0.333, 0.667, 0.502)
Mg (0.667, 0.333, 0.623)
Mg (0.333, 0.667, 0.123)

=====

| no. | total energy (eV/atom) |
| --- | --- |
| 1 | -23.511 |
| 2 | -18.771 |
| 3 | -28.875 |
| 4 | -12.029 |
| 5 | -36.573 |
| 6 | -16.100 |
| 7 | -30.415 |
| 8 | -13.569 |
| 9 | -40.585 |
| 10 | -30.692 |
| 11 | -20.034 |
| 12 | -27.268 |
| 13 | -12.347 |
| 14 | -29.535 |
| 15 | -18.294 |
| 16 | -31.069 |
| 17 | -28.885 |
| 18 | -17.088 |
| 19 | -31.585 |
| 20 | -51.690 |
| 21 | -33.891 |
| 22 | -24.679 |
| 23 | -30.857 |
| 24 | -9.179 |
| 25 | -19.930 |
| 26 | -27.857 |
| 27 | -15.402 |
| 28 | -4.058 |